# 1
First-principles (PBE) data for a relaxed Cu2TeMo crystal, as listed in the Alexandria database.

Its uncorrected formation energy is 0.287 eV/atom. The calculation puts the density of states at the Fermi level at 0.29 states/eV per atom. Its space-group type is I-4m2 (119).

POSCAR file:
```
Cu2TeMo
1.0
5.006 0.008 0.000
2.050 4.567 0.000
-3.528 -2.288 2.717
Cu Te Mo
2 1 1
Cartesian
1.025 2.284 1.359
0.000 0.000 0.000
2.503 0.004 1.359
3.528 2.288 0.000
```

=====

# 2
First-principles (PBE) data for a relaxed Cu3TeMo crystal, as listed in the Alexandria database.

Its uncorrected formation energy is 1.357 eV/atom. The calculation puts the density of states at the Fermi level at 0.54 states/eV per atom. The value obtained for the polymorph energy (0 for the lowest one) is 0 meV per atom. Its space-group type is Pm-3m (221).

POSCAR file:
```
Cu3TeMo
1.0
4.717 0.000 0.000
0.000 4.717 0.000
0.000 0.000 4.717
Cu Te Mo
3 1 1
Cartesian
2.359 0.000 0.000
0.000 2.359 0.000
0.000 0.000 2.359
2.359 2.359 2.359
0.000 0.000 0.000
```

=====

# 3
First-principles (PBE) data for a relaxed Cu2TeMo crystal, as listed in the Alexandria database.

Its uncorrected formation energy is 0.511 eV/atom. The calculation puts the density of states at the Fermi level at 0.51 states/eV per atom. Its space-group type is P4/mmm (123).

POSCAR file:
```
Cu2TeMo
1.0
2.869 0.000 0.000
0.000 2.869 0.000
0.000 0.000 8.582
Cu Te Mo
2 1 1
Cartesian
0.000 0.000 3.933
0.000 0.000 0.358
1.435 1.435 6.436
1.435 1.435 2.145
```

=====

# 4
First-principles (PBE) data for a relaxed Cu2TeMo crystal, as listed in the Alexandria database.

Its uncorrected formation energy is 0.588 eV/atom. The calculation puts the density of states at the Fermi level at 1.21 states/eV per atom. Its space-group type is R-3m (166).

POSCAR file:
```
Cu2TeMo
1.0
9.155 0.007 0.004
8.672 2.937 0.004
8.672 1.432 2.564
Mo Te Cu
1 1 2
Cartesian
6.625 1.094 0.643
19.874 3.282 1.929
26.324 4.347 2.555
13.424 2.216 1.303
```

=====

# 5
First-principles (PBE) data for a relaxed Cu2TeMo crystal, as listed in the Alexandria database.

Its uncorrected formation energy is 0.472 eV/atom. The calculation puts the density of states at the Fermi level at 0.68 states/eV per atom. Its space-group type is F-43m (216).

POSCAR file:
```
Cu2TeMo
1.0
4.487 0.000 0.000
2.243 3.886 0.000
2.243 1.295 3.663
Mo Cu Te
1 2 1
Cartesian
4.487 2.590 1.832
0.000 0.000 0.000
6.730 3.886 2.748
2.243 1.295 0.916
```

=====

# 6
First-principles (PBE) data for a relaxed Cu4TeMo crystal, as listed in the Alexandria database.

Its uncorrected formation energy is 0.391 eV/atom. The calculation puts the density of states at the Fermi level at 0.77 states/eV per atom. Its space-group type is F-43m (216).

POSCAR file:
```
Cu4TeMo
1.0
0.000 3.534 3.534
3.534 0.000 3.534
3.534 3.534 0.000
Mo Cu Te
1 4 1
Cartesian
5.301 5.301 5.301
2.657 2.657 2.657
4.410 4.410 2.657
4.410 2.657 4.410
2.657 4.410 4.410
0.000 0.000 0.000
```

=====

# 7
First-principles (PBE) data for a relaxed CuTe6Mo crystal, as listed in the Alexandria database.

Its uncorrected formation energy is 0.047 eV/atom. The calculation puts the density of states at the Fermi level at 0.67 states/eV per atom. Its space-group type is P-1 (2).

POSCAR file:
```
CuTe6Mo
1.0
6.484 0.387 0.240
3.530 5.669 0.995
3.462 2.870 7.046
Cu Te Mo
1 6 1
Cartesian
0.000 0.000 0.000
5.827 6.126 2.175
5.946 2.298 2.767
4.269 4.707 5.194
7.648 2.799 6.107
7.529 6.628 5.514
9.207 4.219 3.087
6.738 4.463 4.141
```

=====

# 8
First-principles (PBE) data for a relaxed Cu2TeMo crystal, as listed in the Alexandria database.

Its uncorrected formation energy is 0.584 eV/atom. The calculation puts the density of states at the Fermi level at 0.61 states/eV per atom. Its space-group type is I-42d (122).

POSCAR file:
```
Cu2TeMo
1.0
7.243 0.000 0.000
0.000 7.243 0.000
3.622 3.622 2.608
Te Cu Mo
2 4 2
Cartesian
0.000 0.000 0.000
7.243 3.622 1.304
5.429 1.811 0.652
1.815 5.433 0.652
9.054 9.050 1.956
5.433 5.436 1.956
3.622 3.622 0.000
3.622 7.243 1.304
```

=====

# 9
First-principles (PBE) data for a relaxed Cu2TeMo crystal, as listed in the Alexandria database.

Its uncorrected formation energy is 0.261 eV/atom. The calculation puts the density of states at the Fermi level at 0.59 states/eV per atom. Its space-group type is P4mm (99).

POSCAR file:
```
Cu2TeMo
1.0
3.339 -0.011 0.000
0.011 3.339 0.000
0.000 0.000 5.748
Te Mo Cu
1 1 2
Cartesian
1.675 1.664 4.249
0.000 0.000 2.852
0.000 0.000 0.228
1.675 1.664 1.292
```

=====

# 10
First-principles (PBE) data for a relaxed Cu2TeMo crystal, as listed in the Alexandria database.

Its uncorrected formation energy is 0.438 eV/atom. The calculation puts the density of states at the Fermi level at 0.74 states/eV per atom. Its space-group type is Pmmm (47).

POSCAR file:
```
Cu2TeMo
1.0
3.668 0.000 0.000
0.000 4.229 0.000
0.000 0.000 4.065
Cu Mo Te
2 1 1
Cartesian
0.000 0.000 0.000
1.834 2.114 0.000
1.834 0.000 2.033
0.000 2.114 2.033
```

=====

# 11
First-principles (PBE) data for a relaxed Th2CuMo crystal, as listed in the Alexandria database.

Its energy of formation is 0.101 eV/atom. The calculation puts the density of states at the Fermi level at 1.05 states/eV per atom. The value obtained for the polymorph energy (0 for the lowest one) is 0 meV per atom. Its space-group type is P4/mmm (123).

POSCAR file:
```
Th2CuMo
1.0
3.594 0.000 0.000
0.000 3.594 0.000
0.000 0.000 7.279
Mo Cu Th
1 1 2
Cartesian
1.797 1.797 0.000
1.797 1.797 3.639
0.000 0.000 1.762
0.000 0.000 5.516
```

=====

# 12
First-principles (PBE) data for a relaxed ThZrCuMo crystal, as listed in the Alexandria database.

Its energy of formation is 0.032 eV/atom. The calculation puts the density of states at the Fermi level at 0.52 states/eV per atom. Its space-group type is F-43m (216).

POSCAR file:
```
ThZrCuMo
1.0
-0.902 -3.224 -3.555
-2.111 -4.275 1.059
-4.597 -0.867 -1.402
Zr Cu Mo Th
1 1 1 1
Cartesian
-3.805 -4.183 -1.949
-1.902 -2.091 -0.974
-5.707 -6.274 -2.923
0.000 0.000 0.000
```

=====

# 13
First-principles (PBE) data for a relaxed TiCuMo crystal, as listed in the Alexandria database.

Its energy of formation is 0.045 eV/atom. The calculation puts the density of states at the Fermi level at 1.10 states/eV per atom. The value obtained for the polymorph energy (0 for the lowest one) is 60 meV per atom. Its space-group type is I4mm (107).

POSCAR file:
```
TiCuMo
1.0
-0.482 -1.513 -2.140
2.514 -0.883 0.059
-2.762 -3.525 4.773
Ti Mo Cu
1 1 1
Cartesian
0.412 -2.833 0.251
-0.709 -5.864 2.647
-1.162 -3.144 2.485
```

=====

# 14
First-principles (PBE) data for a relaxed TiCu3Mo crystal, as listed in the Alexandria database.

Its energy of formation is 1.403 eV/atom. The calculation puts the density of states at the Fermi level at 1.30 states/eV per atom. The value obtained for the polymorph energy (0 for the lowest one) is 0 meV per atom. Its space-group type is Pm-3m (221).

POSCAR file:
```
TiCu3Mo
1.0
-1.407 -0.174 4.340
-0.445 -4.533 -0.326
4.321 -0.523 1.380
Mo Ti Cu
1 1 3
Cartesian
0.000 0.000 0.000
1.235 -2.615 2.697
2.160 -0.262 0.690
-0.704 -0.087 2.170
-0.222 -2.266 -0.163
```

=====

# 15
First-principles (PBE) data for a relaxed TiCuMo2 crystal, as listed in the Alexandria database.

Its energy of formation is 0.311 eV/atom. The calculation puts the density of states at the Fermi level at 2.42 states/eV per atom. The value obtained for the polymorph energy (0 for the lowest one) is 0 meV per atom. Its space-group type is Fm-3m (225).

POSCAR file:
```
TiCuMo2
1.0
-1.412 -1.707 3.797
-3.644 -2.457 0.085
0.284 -4.330 0.703
Mo Cu Ti
2 1 1
Cartesian
-3.579 -6.370 3.439
-1.193 -2.123 1.146
-2.386 -4.247 2.293
0.000 0.000 0.000
```

=====

# 16
First-principles (PBE) data for a relaxed TiCuMo3 crystal, as listed in the Alexandria database.

Its energy of formation is 1.605 eV/atom. The calculation puts the density of states at the Fermi level at 0.83 states/eV per atom. The value obtained for the polymorph energy (0 for the lowest one) is 142 meV per atom. Its space-group type is Pm-3m (221).

POSCAR file:
```
TiCuMo3
1.0
-1.777 3.795 1.729
-2.553 0.496 -3.713
-3.298 -2.429 1.943
Cu Ti Mo
1 1 3
Cartesian
-3.813 0.931 -0.021
0.000 0.000 0.000
-0.888 1.898 0.864
-1.649 -1.214 0.971
-1.276 0.248 -1.856
```

=====

# 17
First-principles (PBE) data for a relaxed Ti2Cu2Mo crystal, as listed in the Alexandria database.

Its energy of formation is 0.079 eV/atom. The calculation puts the density of states at the Fermi level at 1.10 states/eV per atom. The value obtained for the polymorph energy (0 for the lowest one) is 98 meV per atom. Its space-group type is P4/mbm (127).

POSCAR file:
```
Ti2Cu2Mo
1.0
-6.435 -3.421 0.457
3.447 -6.320 1.230
-0.068 0.491 2.715
Ti Cu Mo
4 4 2
Cartesian
-4.212 -4.594 2.128
1.155 -4.656 2.274
-1.485 -1.983 1.724
-1.572 -7.266 2.678
0.584 -6.874 1.258
-3.572 -2.867 0.429
-3.539 -6.925 1.164
0.551 -2.816 0.523
0.000 0.000 0.000
-1.494 -4.870 0.843
```

=====

# 18
First-principles (PBE) data for a relaxed Ti4CuMo crystal, as listed in the Alexandria database.

Its energy of formation is 0.405 eV/atom. The calculation puts the density of states at the Fermi level at 1.29 states/eV per atom. The value obtained for the polymorph energy (0 for the lowest one) is 451 meV per atom. Its space-group type is C2/m (12).

POSCAR file:
```
Ti4CuMo
1.0
4.455 0.000 0.000
2.228 3.848 0.230
2.228 0.893 6.452
Ti Mo Cu
4 1 1
Cartesian
4.455 2.521 0.873
4.455 2.220 5.809
6.683 3.694 2.745
2.228 1.047 3.937
0.000 0.000 0.000
4.455 2.371 3.341
```

=====

# 19
First-principles (PBE) data for a relaxed Ti4Cu3Mo crystal, as listed in the Alexandria database.

Its energy of formation is -0.087 eV/atom. The calculation puts the density of states at the Fermi level at 1.05 states/eV per atom. Its space-group type is P4/mmm (123).

POSCAR file:
```
Ti4Cu3Mo
1.0
3.155 0.000 0.000
0.000 3.155 0.000
0.000 0.000 12.092
Ti Mo Cu
4 1 3
Cartesian
0.000 0.000 7.533
0.000 0.000 10.602
0.000 0.000 1.490
0.000 0.000 4.559
1.577 1.577 0.000
1.577 1.577 3.046
1.577 1.577 6.046
1.577 1.577 9.046
```

=====

# 20
First-principles (PBE) data for a relaxed Ti2Cu2Mo crystal, as listed in the Alexandria database.

Its energy of formation is -0.018 eV/atom. The calculation puts the density of states at the Fermi level at 0.84 states/eV per atom. The value obtained for the polymorph energy (0 for the lowest one) is 0 meV per atom. Its space-group type is Cmmm (65).

POSCAR file:
```
Ti2Cu2Mo
1.0
3.106 0.000 0.000
0.000 3.266 0.619
0.000 0.253 7.592
Ti Mo Cu
2 1 2
Cartesian
1.553 2.165 6.426
1.553 1.353 1.785
0.000 0.000 0.000
0.000 0.784 4.791
0.000 2.735 3.419
```